[1]
A relaxed structure of MnHOs, computed with PBE-GGA.

```
data_MnHOs
_symmetry_space_group_name_H-M 'P m m 2'
_symmetry_Int_Tables_number 25
_cell_length_a 2.706
_cell_length_b 2.725
_cell_length_c 3.903
_cell_angle_alpha 90.00
_cell_angle_beta 90.00
_cell_angle_gamma 90.00
loop_
_symmetry_equiv_pos_as_xyz
'x,y,z'
'-x,-y,z'
'-x,y,z'
'x,-y,z'
loop_
_atom_site_label
_atom_site_fract_x
_atom_site_fract_y
_atom_site_fract_z
Mn1 0.000 0.000 0.000
H1 0.500 0.000 0.726
Os1 0.500 0.500 0.406
```

Computed properties:
D(E_F): 0.600 states/eV per atom
crystal system: orthorhombic
VASP energy: -7.753 eV/atom
energy relative to the lowest polymorph listed for this composition: 114 meV per atom

[2]
A relaxed structure of Mn2HOsPd, computed with PBE-GGA.

```
data_Mn2HOsPd
_symmetry_space_group_name_H-M 'P 4/m m m'
_symmetry_Int_Tables_number 123
_symmetry_space_group_name_Hall '-P 4 2'
_cell_length_a 3.987
_cell_length_b 3.987
_cell_length_c 3.664
_cell_angle_alpha 90.00
_cell_angle_beta 90.00
_cell_angle_gamma 90.00
loop_
_atom_site_label
_atom_site_fract_x
_atom_site_fract_y
_atom_site_fract_z
Mn1 0.000 0.500 0.000
H1 0.000 0.000 0.000
Os1 0.000 0.000 0.500
Pd1 0.500 0.500 0.500
```

Computed properties:
D(E_F): 0.945 states/eV per atom
crystal system: tetragonal
VASP energy: -7.478 eV/atom
energy relative to the lowest polymorph listed for this composition: 0 meV per atom

[3]
A relaxed structure of Mn2HOsPd, computed with PBE-GGA.

```
data_Mn2HOsPd
_symmetry_space_group_name_H-M 'P 4/m m m'
_symmetry_Int_Tables_number 123
_symmetry_space_group_name_Hall '-P 4 2'
_cell_length_a 3.836
_cell_length_b 3.836
_cell_length_c 3.749
_cell_angle_alpha 90.00
_cell_angle_beta 90.00
_cell_angle_gamma 90.00
loop_
_atom_site_label
_atom_site_fract_x
_atom_site_fract_y
_atom_site_fract_z
Mn1 0.000 0.500 0.000
H1 0.000 0.000 0.000
Os1 0.500 0.500 0.500
Pd1 0.000 0.000 0.500
```

Computed properties:
D(E_F): 1.230 states/eV per atom
crystal system: tetragonal
VASP energy: -7.424 eV/atom
energy relative to the lowest polymorph listed for this composition: 54 meV per atom

[4]
A relaxed structure of Mn2HOsPt, computed with PBE-GGA.

```
data_Mn2HOsPt
_symmetry_space_group_name_H-M 'P 4/m m m'
_symmetry_Int_Tables_number 123
_symmetry_space_group_name_Hall '-P 4 2'
_cell_length_a 3.840
_cell_length_b 3.840
_cell_length_c 3.758
_cell_angle_alpha 90.00
_cell_angle_beta 90.00
_cell_angle_gamma 90.00
loop_
_atom_site_label
_atom_site_fract_x
_atom_site_fract_y
_atom_site_fract_z
Mn1 0.000 0.500 0.000
H1 0.000 0.000 0.000
Os1 0.000 0.000 0.500
Pt1 0.500 0.500 0.500
```

Computed properties:
D(E_F): 1.240 states/eV per atom
crystal system: tetragonal
VASP energy: -7.763 eV/atom
energy relative to the lowest polymorph listed for this composition: 0 meV per atom

[5]
A relaxed structure of Mn2HOsPt, computed with PBE-GGA.

```
data_Mn2HOsPt
_symmetry_space_group_name_H-M 'P 4/m m m'
_symmetry_Int_Tables_number 123
_symmetry_space_group_name_Hall '-P 4 2'
_cell_length_a 3.841
_cell_length_b 3.841
_cell_length_c 3.757
_cell_angle_alpha 90.00
_cell_angle_beta 90.00
_cell_angle_gamma 90.00
loop_
_atom_site_label
_atom_site_fract_x
_atom_site_fract_y
_atom_site_fract_z
Mn1 0.000 0.500 0.000
H1 0.000 0.000 0.000
Os1 0.500 0.500 0.500
Pt1 0.000 0.000 0.500
```

Computed properties:
D(E_F): 1.210 states/eV per atom
crystal system: tetragonal
VASP energy: -7.687 eV/atom
energy relative to the lowest polymorph listed for this composition: 77 meV per atom

[6]
A relaxed structure of Mn2ReHOs, computed with PBE-GGA.

```
data_Mn2ReHOs
_symmetry_space_group_name_H-M 'P 4/m m m'
_symmetry_Int_Tables_number 123
_symmetry_space_group_name_Hall '-P 4 2'
_cell_length_a 3.777
_cell_length_b 3.777
_cell_length_c 3.772
_cell_angle_alpha 90.00
_cell_angle_beta 90.00
_cell_angle_gamma 90.00
loop_
_atom_site_label
_atom_site_fract_x
_atom_site_fract_y
_atom_site_fract_z
Mn1 0.000 0.500 0.000
Re1 0.000 0.000 0.500
H1 0.500 0.500 0.000
Os1 0.500 0.500 0.500
```

Computed properties:
D(E_F): 0.669 states/eV per atom
crystal system: tetragonal
VASP energy: -9.004 eV/atom
energy relative to the lowest polymorph listed for this composition: 0 meV per atom

[7]
A relaxed structure of MnReHOs2, computed with PBE-GGA.

```
data_MnReHOs2
_symmetry_space_group_name_H-M 'P 4/m m m'
_symmetry_Int_Tables_number 123
_symmetry_space_group_name_Hall '-P 4 2'
_cell_length_a 3.880
_cell_length_b 3.880
_cell_length_c 3.822
_cell_angle_alpha 90.00
_cell_angle_beta 90.00
_cell_angle_gamma 90.00
loop_
_atom_site_label
_atom_site_fract_x
_atom_site_fract_y
_atom_site_fract_z
Mn1 0.000 0.000 0.000
Re1 0.500 0.500 0.000
H1 0.000 0.000 0.500
Os1 0.000 0.500 0.500
```

Computed properties:
D(E_F): 0.536 states/eV per atom
crystal system: tetragonal
VASP energy: -9.365 eV/atom

[8]
A relaxed structure of MnRe2HOs, computed with PBE-GGA.

```
data_MnRe2HOs
_symmetry_space_group_name_H-M 'P 4/m m m'
_symmetry_Int_Tables_number 123
_symmetry_space_group_name_Hall '-P 4 2'
_cell_length_a 3.891
_cell_length_b 3.891
_cell_length_c 3.842
_cell_angle_alpha 90.00
_cell_angle_beta 90.00
_cell_angle_gamma 90.00
loop_
_atom_site_label
_atom_site_fract_x
_atom_site_fract_y
_atom_site_fract_z
Mn1 0.000 0.000 0.000
Re1 0.000 0.500 0.500
H1 0.000 0.000 0.500
Os1 0.500 0.500 0.000
```

Computed properties:
D(E_F): 0.651 states/eV per atom
crystal system: tetragonal
VASP energy: -9.619 eV/atom

[9]
A relaxed structure of Mn2ReHOs, computed with PBE-GGA.

```
data_Mn2ReHOs
_symmetry_space_group_name_H-M 'P 4/m m m'
_symmetry_Int_Tables_number 123
_symmetry_space_group_name_Hall '-P 4 2'
_cell_length_a 3.756
_cell_length_b 3.756
_cell_length_c 3.815
_cell_angle_alpha 90.00
_cell_angle_beta 90.00
_cell_angle_gamma 90.00
loop_
_atom_site_label
_atom_site_fract_x
_atom_site_fract_y
_atom_site_fract_z
Mn1 0.000 0.500 0.000
Re1 0.000 0.000 0.500
H1 0.000 0.000 0.000
Os1 0.500 0.500 0.500
```

Computed properties:
D(E_F): 0.853 states/eV per atom
crystal system: tetragonal
VASP energy: -8.993 eV/atom
energy relative to the lowest polymorph listed for this composition: 11 meV per atom

[10]
A relaxed structure of MnHOsRh2, computed with PBE-GGA.

```
data_MnHOsRh2
_symmetry_space_group_name_H-M 'P 4/m m m'
_symmetry_Int_Tables_number 123
_symmetry_space_group_name_Hall '-P 4 2'
_cell_length_a 3.863
_cell_length_b 3.863
_cell_length_c 3.901
_cell_angle_alpha 90.00
_cell_angle_beta 90.00
_cell_angle_gamma 90.00
loop_
_atom_site_label
_atom_site_fract_x
_atom_site_fract_y
_atom_site_fract_z
Mn1 0.000 0.000 0.000
H1 0.500 0.500 0.500
Os1 0.500 0.500 0.000
Rh1 0.000 0.500 0.500
```

Computed properties:
D(E_F): 0.889 states/eV per atom
crystal system: tetragonal
VASP energy: -7.633 eV/atom
energy relative to the lowest polymorph listed for this composition: 0 meV per atom

[11]
A relaxed structure of MnHOsRh2, computed with PBE-GGA.

```
data_MnHOsRh2
_symmetry_space_group_name_H-M 'P 4/m m m'
_symmetry_Int_Tables_number 123
_symmetry_space_group_name_Hall '-P 4 2'
_cell_length_a 3.792
_cell_length_b 3.792
_cell_length_c 3.880
_cell_angle_alpha 90.00
_cell_angle_beta 90.00
_cell_angle_gamma 90.00
loop_
_atom_site_label
_atom_site_fract_x
_atom_site_fract_y
_atom_site_fract_z
Mn1 0.000 0.000 0.000
H1 0.000 0.000 0.500
Os1 0.500 0.500 0.000
Rh1 0.000 0.500 0.500
```

Computed properties:
D(E_F): 1.177 states/eV per atom
crystal system: tetragonal
VASP energy: -7.564 eV/atom
energy relative to the lowest polymorph listed for this composition: 69 meV per atom

[12]
A relaxed structure of MnHOsRu2, computed with PBE-GGA.

```
data_MnHOsRu2
_symmetry_space_group_name_H-M 'P 4/m m m'
_symmetry_Int_Tables_number 123
_symmetry_space_group_name_Hall '-P 4 2'
_cell_length_a 3.819
_cell_length_b 3.819
_cell_length_c 3.791
_cell_angle_alpha 90.00
_cell_angle_beta 90.00
_cell_angle_gamma 90.00
loop_
_atom_site_label
_atom_site_fract_x
_atom_site_fract_y
_atom_site_fract_z
Mn1 0.000 0.000 0.000
H1 0.000 0.000 0.500
Os1 0.500 0.500 0.000
Ru1 0.000 0.500 0.500
```

Computed properties:
D(E_F): 0.905 states/eV per atom
crystal system: tetragonal
VASP energy: -8.349 eV/atom

[13]
A relaxed structure of Sc2MnHOs, computed with PBE-GGA.

```
data_Sc2MnHOs
_symmetry_space_group_name_H-M 'P 4/m m m'
_symmetry_Int_Tables_number 123
_symmetry_space_group_name_Hall '-P 4 2'
_cell_length_a 4.496
_cell_length_b 4.496
_cell_length_c 3.400
_cell_angle_alpha 90.00
_cell_angle_beta 90.00
_cell_angle_gamma 90.00
loop_
_atom_site_label
_atom_site_fract_x
_atom_site_fract_y
_atom_site_fract_z
Sc1 0.000 0.500 0.000
Mn1 0.000 0.000 0.500
H1 0.000 0.000 0.000
Os1 0.500 0.500 0.500
```

Computed properties:
D(E_F): 0.932 states/eV per atom
crystal system: tetragonal
VASP energy: -7.538 eV/atom

[14]
A relaxed structure of MnH2OsSe, computed with PBE-GGA.

```
data_MnH2OsSe
_symmetry_space_group_name_H-M 'P 4/m m m'
_symmetry_Int_Tables_number 123
_symmetry_space_group_name_Hall '-P 4 2'
_cell_length_a 3.488
_cell_length_b 3.488
_cell_length_c 5.354
_cell_angle_alpha 90.00
_cell_angle_beta 90.00
_cell_angle_gamma 90.00
loop_
_atom_site_label
_atom_site_fract_x
_atom_site_fract_y
_atom_site_fract_z
Mn1 0.000 0.000 0.000
H1 0.000 0.500 0.000
Os1 0.000 0.000 0.500
Se1 0.500 0.500 0.500
```

Computed properties:
D(E_F): 0.697 states/eV per atom
crystal system: tetragonal
VASP energy: -5.489 eV/atom

Spin magnetization
In order: 0.0 6.2 3.8 3.7 3.5 1.8 1.0 1.3 1.8 2.5 0.0 0.0 2.2 3.6
Unit: μB per formula unit